[1]
# Nd2Tm2Tl3 | Alexandria via LeMat-Bulk | GGA-PBE | relaxed
# Crystal system   orthorhombic
# Final energy   -3.88 eV per atom
# E above lowest polymorph   0.000 eV/atom
# Energy of formation from the pure elements   -221 meV/atom
data_Nd2Tm2Tl3
_cell_length_a 3.531
_cell_length_b 3.606
_cell_length_c 16.341
_cell_angle_alpha 90.00
_cell_angle_beta 83.80
_cell_angle_gamma 90.00
_symmetry_space_group_name_H-M 'P 1'
_symmetry_Int_Tables_number 1
loop_
_symmetry_equiv_pos_as_xyz
'x,y,z'
loop_
_atom_site_label
_atom_site_type_symbol
_atom_site_fract_x
_atom_site_fract_y
_atom_site_fract_z
Nd1 Nd 0.570 0.500 0.859
Tm1 Tm 0.297 0.500 0.407
Tl1 Tl 0.000 0.000 0.000
Nd2 Nd 0.430 0.500 0.141
Tl2 Tl 0.141 0.000 0.719
Tl3 Tl 0.859 0.000 0.281
Tm2 Tm 0.703 0.500 0.593

[2]
# ReRhW2Se | Alexandria via LeMat-Bulk | GGA-PBE | relaxed
# Crystal system   tetragonal
# Final energy   -7.82 eV per atom
# E above lowest polymorph   0.300 eV/atom
# Uncorrected formation energy   2015 meV/atom
data_ReRhW2Se
_cell_length_a 4.797
_cell_length_b 4.603
_cell_length_c 4.797
_cell_angle_alpha 90.00
_cell_angle_beta 90.00
_cell_angle_gamma 90.00
_symmetry_space_group_name_H-M 'P 1'
_symmetry_Int_Tables_number 1
loop_
_symmetry_equiv_pos_as_xyz
'x,y,z'
loop_
_atom_site_label
_atom_site_type_symbol
_atom_site_fract_x
_atom_site_fract_y
_atom_site_fract_z
W1 W 0.000 0.000 0.500
Re1 Re 0.000 0.000 0.000
Se1 Se 0.000 0.500 0.000
Rh1 Rh 0.500 0.500 0.500
W2 W 0.500 0.000 0.000

[3]
# CeHoAl | Alexandria via LeMat-Bulk | GGA-PBE | relaxed
# Crystal system   tetragonal
# Final energy   -4.92 eV per atom
# E above lowest polymorph   0.048 eV/atom
# Energy of formation from the pure elements   -173 meV/atom
data_CeHoAl
_cell_length_a 3.340
_cell_length_b 3.340
_cell_length_c 7.383
_cell_angle_alpha 103.07
_cell_angle_beta 103.07
_cell_angle_gamma 90.00
_symmetry_space_group_name_H-M 'P 1'
_symmetry_Int_Tables_number 1
loop_
_symmetry_equiv_pos_as_xyz
'x,y,z'
loop_
_atom_site_label
_atom_site_type_symbol
_atom_site_fract_x
_atom_site_fract_y
_atom_site_fract_z
Al1 Al 0.664 0.664 0.329
Ce1 Ce 0.316 0.316 0.632
Ho1 Ho 0.019 0.019 0.039

[4]
# K2NiTe | Alexandria via LeMat-Bulk | GGA-PBE | relaxed
# Crystal system   tetragonal
# Final energy   -2.86 eV per atom
# Uncorrected formation energy   -81 meV/atom
data_K2NiTe
_cell_length_a 3.766
_cell_length_b 3.766
_cell_length_c 9.963
_cell_angle_alpha 90.00
_cell_angle_beta 90.00
_cell_angle_gamma 90.00
_symmetry_space_group_name_H-M 'P 1'
_symmetry_Int_Tables_number 1
loop_
_symmetry_equiv_pos_as_xyz
'x,y,z'
loop_
_atom_site_label
_atom_site_type_symbol
_atom_site_fract_x
_atom_site_fract_y
_atom_site_fract_z
K1 K 0.000 0.000 0.916
Ni1 Ni 0.000 0.000 0.611
K2 K 0.500 0.500 0.320
Te1 Te 0.500 0.500 0.652